Record 1
Below is an optimized crystal structure of Ta2Mo8W, with properties calculated at the PBE level.

Unit cell a=3.1860 b=7.1389 c=8.3042 alpha=74.92 beta=78.92 gamma=90.00
Last column: nearest neighbours and their distance in Å.
Fractional positions:
Mo  0.9101  0.5486  0.1480  6 Mo 2.72-2.77, 2 Ta 2.78
Mo  0.1799  0.9120  0.6095  6 Mo 2.73-2.79, 2 Ta 2.76
Mo  0.3645  0.8218  0.2396  4 Mo 2.73-2.77, 2 W 2.74, 2 Ta 2.79-2.80
Mo  0.8191  0.0885  0.3299  6 Mo 2.73-2.79, 2 Ta 2.76
Mo  0.6346  0.1787  0.6998  4 Mo 2.73-2.77, 2 W 2.74, 2 Ta 2.79-2.80
Ta  0.2739  0.3599  0.4211  6 Mo 2.76-2.80, 2 Ta 2.83
Mo  0.5441  0.7267  0.8809  6 Mo 2.72-2.77, 2 W 2.76
Mo  0.4549  0.2738  0.0585  6 Mo 2.72-2.77, 2 W 2.76
W  0.9995  0.0003  0.9697  8 Mo 2.74-2.76
Mo  0.0890  0.4519  0.7914  6 Mo 2.72-2.77, 2 Ta 2.78
Ta  0.7252  0.6406  0.5183  6 Mo 2.76-2.80, 2 Ta 2.83

VASP energy in eV per cell: -124.3
Spin magnetization in μB/cell: 0.00
Symmetry: C2/m, No. 12
Calculated formation energy in meV/atom: -90


Record 2
Below is an optimized crystal structure of Ta6Mo2W, with properties calculated at the PBE level.

Unit cell a=3.2400 b=5.3964 c=9.7643 alpha=74.73 beta=80.45 gamma=72.53
Last column: nearest neighbours and their distance in Å.
Fractional positions:
Ta  0.0088  0.3138  0.6685  2 Mo 2.76, 6 Ta 2.86-2.88
W  0.0000  0.0000  0.0000  4 Mo 2.81, 4 Ta 2.82
Ta  0.6689  0.2256  0.4365  2 Mo 2.82, 6 Ta 2.86-2.88
Ta  0.6671  0.5539  0.1118  2 Mo 2.78, 2 W 2.82, 4 Ta 2.85-2.87
Ta  0.9912  0.6862  0.3315  2 Mo 2.76, 6 Ta 2.86-2.88
Mo  0.3338  0.1151  0.2173  6 Ta 2.76-2.82, 2 W 2.81
Ta  0.3329  0.4461  0.8882  2 Mo 2.78, 2 W 2.82, 4 Ta 2.85-2.87
Mo  0.6662  0.8849  0.7827  6 Ta 2.76-2.82, 2 W 2.81
Ta  0.3311  0.7744  0.5635  2 Mo 2.82, 6 Ta 2.86-2.88

VASP energy in eV per cell: -106.6
Spin magnetization in μB/cell: 0.00
Excess energy over the best structure of this formula in the dataset in meV per atom: 0
Symmetry: C2/m, No. 12
Calculated formation energy in meV/atom: -91


Record 3
Below is an optimized crystal structure of TaMo3W3, with properties calculated at the PBE level.

Unit cell a=6.9443 b=6.9443 c=6.9443 alpha=65.30 beta=65.30 gamma=65.30
Last column: nearest neighbours and their distance in Å.
Fractional positions:
W  0.7701  0.4701  0.1084  5 Mo 2.62-2.82
W  0.8916  0.2299  0.5299  5 Mo 2.62-2.82
W  0.4701  0.1084  0.7701  5 Mo 2.62-2.82
Mo  0.2644  0.9422  0.6245  5 W 2.62-2.82, 2 Ta 2.68-2.74
Mo  0.3755  0.7356  0.0578  5 W 2.62-2.82, 2 Ta 2.68-2.74
Mo  0.0578  0.3755  0.7356  5 W 2.62-2.82, 2 Ta 2.68-2.74
Mo  0.6245  0.2644  0.9422  5 W 2.62-2.82, 2 Ta 2.68-2.74
Ta  0.6633  0.6633  0.6633  6 Mo 2.68-2.74
Mo  0.7356  0.0578  0.3755  5 W 2.62-2.82, 2 Ta 2.68-2.74
Ta  0.3367  0.3367  0.3367  6 Mo 2.68-2.74
Mo  0.9422  0.6245  0.2644  5 W 2.62-2.82, 2 Ta 2.68-2.74
W  0.1084  0.7701  0.4701  5 Mo 2.62-2.82
W  0.2299  0.5299  0.8916  5 Mo 2.62-2.82
W  0.5299  0.8916  0.2299  5 Mo 2.62-2.82

VASP energy in eV per cell: -156.8
Spin magnetization in μB/cell: 0.00
Excess energy over the best structure of this formula in the dataset in meV per atom: 277
Symmetry: R-3, No. 148
Calculated formation energy in meV/atom: 688


Record 4
Below is an optimized crystal structure of Ta2Mo5W3, with properties calculated at the PBE level.

Unit cell a=5.8380 b=8.5352 c=8.5352 alpha=80.47 beta=70.00 gamma=70.00
Last column: nearest neighbours and their distance in Å.
Fractional positions:
Mo  0.8695  0.9943  0.2667  3 W 2.50-2.59, 2 Mo 2.51
W  0.3782  0.4844  0.7591  5 Mo 2.50-2.58
Mo  0.5007  0.2493  0.2493  2 Mo 2.51, 2 W 2.58
Mo  0.3695  0.2667  0.9943  3 W 2.50-2.59, 2 Mo 2.51
Mo  0.6305  0.7333  0.0057  3 W 2.50-2.59, 2 Mo 2.51
Mo  0.7500  0.5000  0.5000  4 W 2.54
Ta  0.3835  0.8607  0.3723  4 W 3.02-3.32, 6 Mo 3.17-3.35
Ta  0.8835  0.3723  0.8607  4 W 3.02-3.32, 6 Mo 3.17-3.35
W  0.6218  0.5156  0.2409  5 Mo 2.50-2.58
W  0.2500  0.0000  0.0000  4 Mo 2.59
Mo  0.1305  0.0057  0.7333  3 W 2.50-2.59, 2 Mo 2.51
Mo  0.0007  0.2493  0.2493  2 Mo 2.51, 2 W 2.58
Ta  0.1165  0.6277  0.1393  4 W 3.02-3.32, 6 Mo 3.17-3.35
W  0.7500  0.0000  0.0000  4 Mo 2.59
Ta  0.6165  0.1393  0.6277  4 W 3.02-3.32, 6 Mo 3.17-3.35
W  0.8782  0.7591  0.4844  5 Mo 2.50-2.58
Mo  0.9993  0.7507  0.7507  2 Mo 2.51, 2 W 2.58
Mo  0.2500  0.5000  0.5000  4 W 2.54
Mo  0.4993  0.7507  0.7507  2 Mo 2.51, 2 W 2.58
W  0.1218  0.2409  0.5156  5 Mo 2.50-2.58

VASP energy in eV per cell: -215.6
Spin magnetization in μB/cell: 0.00
Symmetry: Ibam, No. 72
Calculated formation energy in meV/atom: 893


Record 5
Below is an optimized crystal structure of TaMo6W8, with properties calculated at the PBE level.

Unit cell a=7.0838 b=7.0838 c=7.0838 alpha=59.51 beta=59.51 gamma=59.51
Last column: nearest neighbours and their distance in Å.
Fractional positions:
Ta  0.0000  0.0000  0.0000  6 Mo 2.81, 6 W 2.84
W  0.5762  0.5762  0.5762  4 W 2.64-2.65, 6 Mo 2.84-2.90
Mo  0.9424  0.4681  0.7146  1 Mo 2.56, 3 W 2.70-2.84, 1 Ta 2.81
W  0.8334  0.1325  0.6454  4 W 2.64-2.86, 2 Mo 2.70-2.84, 1 Ta 2.84
Mo  0.0576  0.5319  0.2854  1 Mo 2.56, 3 W 2.70-2.84, 1 Ta 2.81
W  0.4238  0.4238  0.4238  4 W 2.64-2.65, 6 Mo 2.84-2.90
Mo  0.7146  0.9424  0.4681  1 Mo 2.56, 3 W 2.70-2.84, 1 Ta 2.81
Mo  0.5319  0.2854  0.0576  1 Mo 2.56, 3 W 2.70-2.84, 1 Ta 2.81
W  0.8675  0.3546  0.1666  4 W 2.64-2.86, 2 Mo 2.70-2.84, 1 Ta 2.84
W  0.1325  0.6454  0.8334  4 W 2.64-2.86, 2 Mo 2.70-2.84, 1 Ta 2.84
Mo  0.4681  0.7146  0.9424  1 Mo 2.56, 3 W 2.70-2.84, 1 Ta 2.81
W  0.3546  0.1666  0.8675  4 W 2.64-2.86, 2 Mo 2.70-2.84, 1 Ta 2.84
W  0.6454  0.8334  0.1325  4 W 2.64-2.86, 2 Mo 2.70-2.84, 1 Ta 2.84
W  0.1666  0.8675  0.3546  4 W 2.64-2.86, 2 Mo 2.70-2.84, 1 Ta 2.84
Mo  0.2854  0.0576  0.5319  1 Mo 2.56, 3 W 2.70-2.84, 1 Ta 2.81

VASP energy in eV per cell: -176.4
Spin magnetization in μB/cell: 0.00
Excess energy over the best structure of this formula in the dataset in meV per atom: 0
Symmetry: R-3, No. 148
Calculated formation energy in meV/atom: 269


Record 6
Below is an optimized crystal structure of TaMo2W, with properties calculated at the PBE level.

Unit cell a=5.3058 b=5.2869 c=2.7907 alpha=79.76 beta=80.11 gamma=117.16
Last column: nearest neighbours and their distance in Å.
Fractional positions:
W  0.5000  0.5000  0.0000  4 Mo 2.76, 2 Ta 2.78, 2 W 2.79
Mo  0.0000  0.0000  0.0000  2 Ta 2.76, 2 W 2.76, 4 Mo 2.78-2.79
Ta  0.0000  0.5000  0.5000  4 Mo 2.76, 2 W 2.78, 2 Ta 2.79
Mo  0.5000  0.0000  0.5000  2 W 2.76, 2 Ta 2.76, 4 Mo 2.78-2.79

VASP energy in eV per cell: -46.9
Spin magnetization in μB/cell: 0.00
Excess energy over the best structure of this formula in the dataset in meV per atom: 38
Symmetry: C2/m, No. 12
Calculated formation energy in meV/atom: -112


Record 7
Below is an optimized crystal structure of Ta3MoW4, with properties calculated at the PBE level.

Unit cell a=5.4720 b=5.4638 c=9.1608 alpha=90.00 beta=90.00 gamma=90.00
Last column: nearest neighbours and their distance in Å.
Fractional positions:
Ta  0.5669  0.0888  0.2468  4 W 2.73-2.82, 1 Mo 2.76, 3 Ta 2.86-2.90
W  0.8117  0.7373  0.5000  2 Mo 2.72-2.76, 4 W 2.73-2.77, 2 Ta 2.82
W  0.8202  0.2370  0.5000  4 Ta 2.72-2.82, 4 W 2.73-2.83
Ta  0.3167  0.2657  0.5000  4 W 2.72-2.83, 2 Mo 2.73-2.74, 2 Ta 2.86
W  0.3202  0.7630  0.0000  4 Ta 2.72-2.82, 4 W 2.73-2.83
W  0.5589  0.5885  0.7460  3 Ta 2.73-2.83, 4 W 2.77-2.90, 1 Mo 2.79
Mo  0.3151  0.7647  0.5000  4 W 2.72-2.79, 4 Ta 2.73-2.76
W  0.5589  0.5885  0.2540  3 Ta 2.73-2.83, 4 W 2.77-2.90, 1 Mo 2.79
Ta  0.5669  0.0888  0.7532  4 W 2.73-2.82, 1 Mo 2.76, 3 Ta 2.86-2.90
Ta  0.0669  0.9112  0.2532  4 W 2.73-2.82, 1 Mo 2.76, 3 Ta 2.86-2.90
W  0.0589  0.4115  0.2460  3 Ta 2.73-2.83, 4 W 2.77-2.90, 1 Mo 2.79
W  0.3117  0.2627  0.0000  2 Mo 2.72-2.76, 4 W 2.73-2.77, 2 Ta 2.82
Ta  0.8167  0.7343  0.0000  4 W 2.72-2.83, 2 Mo 2.73-2.74, 2 Ta 2.86
Mo  0.8151  0.2353  0.0000  4 W 2.72-2.79, 4 Ta 2.73-2.76
W  0.0589  0.4115  0.7540  3 Ta 2.73-2.83, 4 W 2.77-2.90, 1 Mo 2.79
Ta  0.0669  0.9112  0.7468  4 W 2.73-2.82, 1 Mo 2.76, 3 Ta 2.86-2.90

VASP energy in eV per cell: -194.1
Spin magnetization in μB/cell: 0.00
Excess energy over the best structure of this formula in the dataset in meV per atom: 249
Symmetry: Pmn2_1, No. 31
Calculated formation energy in meV/atom: 146


Record 8
Below is an optimized crystal structure of TaMo4W5, with properties calculated at the PBE level.

Unit cell a=4.4654 b=8.4874 c=6.7938 alpha=129.21 beta=109.19 gamma=90.00
Last column: nearest neighbours and their distance in Å.
Fractional positions:
W  0.8286  0.8103  0.6572  3 Mo 2.62-2.73, 2 W 2.71, 2 Ta 2.77
Ta  0.5000  0.0000  0.0000  2 Mo 2.70, 4 W 2.77
W  0.1714  0.1897  0.3428  3 Mo 2.62-2.73, 2 W 2.71, 2 Ta 2.77
W  0.1673  0.6518  0.3346  3 Mo 2.60-2.74, 4 W 2.71-2.75
Mo  0.6693  0.9169  0.3387  3 W 2.64-2.74, 1 Ta 2.70, 4 Mo 2.71
Mo  0.9910  0.2399  0.9820  4 W 2.60-2.73, 2 Mo 2.71
Mo  0.0090  0.7601  0.0180  4 W 2.60-2.73, 2 Mo 2.71
W  0.8327  0.3482  0.6653  3 Mo 2.60-2.74, 4 W 2.71-2.75
W  0.5000  0.5000  0.0000  2 Mo 2.64, 4 W 2.75
Mo  0.3306  0.0831  0.6613  3 W 2.64-2.74, 1 Ta 2.70, 4 Mo 2.71

VASP energy in eV per cell: -114.4
Spin magnetization in μB/cell: 0.00
Excess energy over the best structure of this formula in the dataset in meV per atom: 603
Symmetry: C2/m, No. 12
Calculated formation energy in meV/atom: 554


Record 9
Below is an optimized crystal structure of Ta2MoW3, with properties calculated at the PBE level.

Unit cell a=4.5466 b=7.1971 c=6.4450 alpha=90.00 beta=90.00 gamma=71.62
Last column: nearest neighbours and their distance in Å.
Fractional positions:
W  0.1680  0.6641  0.7545  3 Mo 2.76-2.77, 5 Ta 2.79-2.82
Ta  0.6670  0.6662  0.5000  8 W 2.79-2.80
W  0.5000  0.0000  0.7529  6 Ta 2.78-2.80, 2 Mo 2.78
Mo  0.6666  0.6666  0.0000  8 W 2.76-2.78
Mo  0.3334  0.3334  0.0000  8 W 2.76-2.78
Ta  0.3330  0.3338  0.5000  8 W 2.79-2.80
W  0.8320  0.3359  0.2455  3 Mo 2.76-2.77, 5 Ta 2.79-2.82
W  0.8320  0.3359  0.7545  3 Mo 2.76-2.77, 5 Ta 2.79-2.82
W  0.1680  0.6641  0.2455  3 Mo 2.76-2.77, 5 Ta 2.79-2.82
W  0.5000  0.0000  0.2471  6 Ta 2.78-2.80, 2 Mo 2.78
Ta  0.0000  0.0000  0.5000  8 W 2.80-2.82
Ta  0.0000  0.0000  0.0000  8 W 2.78-2.79

VASP energy in eV per cell: -148.0
Spin magnetization in μB/cell: 0.00
Excess energy over the best structure of this formula in the dataset in meV per atom: 0
Symmetry: Cmmm, No. 65
Calculated formation energy in meV/atom: -103


Record 10
Below is an optimized crystal structure of TaMo3W6, with properties calculated at the PBE level.

Unit cell a=6.0463 b=7.9162 c=7.2055 alpha=90.00 beta=91.55 gamma=90.00
Last column: nearest neighbours and their distance in Å.
Fractional positions:
W  0.4850  0.3734  0.1518  2 Mo 2.60-2.65, 4 W 2.65-2.80, 1 Ta 2.70
W  0.5227  0.1173  0.6627  4 Mo 2.59-2.80, 3 W 2.69-2.80
W  0.2558  0.3507  0.8095  6 W 2.65-2.95, 1 Mo 2.93, 1 Ta 2.95
W  0.7558  0.1493  0.3095  6 W 2.65-2.95, 1 Mo 2.93, 1 Ta 2.95
Mo  0.2565  0.1898  0.3874  5 W 2.59-2.80
Mo  0.7565  0.3102  0.8874  5 W 2.59-2.80
Mo  0.2435  0.6898  0.1126  5 W 2.59-2.80
Ta  0.0000  0.0000  0.0000  4 W 2.70-2.95, 4 Mo 2.97-3.02
W  0.0227  0.3827  0.1627  4 Mo 2.59-2.80, 3 W 2.69-2.80
W  0.4773  0.8827  0.3373  4 Mo 2.59-2.80, 3 W 2.69-2.80
W  0.0150  0.8734  0.3482  2 Mo 2.60-2.65, 4 W 2.65-2.80, 1 Ta 2.70
W  0.7442  0.6493  0.1905  6 W 2.65-2.95, 1 Mo 2.93, 1 Ta 2.95
W  0.9773  0.6173  0.8373  4 Mo 2.59-2.80, 3 W 2.69-2.80
Mo  0.5000  0.0000  0.0000  2 W 2.61
Mo  0.0000  0.5000  0.5000  2 W 2.61
W  0.2442  0.8507  0.6905  6 W 2.65-2.95, 1 Mo 2.93, 1 Ta 2.95
Mo  0.7435  0.8102  0.6126  5 W 2.59-2.80
W  0.9850  0.1266  0.6518  2 Mo 2.60-2.65, 4 W 2.65-2.80, 1 Ta 2.70
Ta  0.5000  0.5000  0.5000  4 W 2.70-2.95, 4 Mo 2.97-3.02
W  0.5150  0.6266  0.8482  2 Mo 2.60-2.65, 4 W 2.65-2.80, 1 Ta 2.70

VASP energy in eV per cell: -233.2
Spin magnetization in μB/cell: 0.00
Symmetry: P2_1/c, No. 14
Calculated formation energy in meV/atom: 544


Record 11
Below is an optimized crystal structure of Ta2MoW5, with properties calculated at the PBE level.

Unit cell a=3.2106 b=6.4194 c=12.8378 alpha=90.00 beta=90.00 gamma=90.00
Last column: nearest neighbours and their distance in Å.
Fractional positions:
W  0.0000  0.0000  0.0000  4 W 2.78, 4 Ta 2.78
Ta  0.5000  0.2475  0.6243  2 Mo 2.77, 6 W 2.78-2.79
W  0.0000  0.4983  0.7495  4 W 2.78, 4 Ta 2.78-2.79
Ta  0.5000  0.2525  0.1243  2 Mo 2.77, 6 W 2.78-2.79
W  0.0000  0.9983  0.7505  4 W 2.78, 4 Ta 2.78-2.79
W  0.0000  0.5000  0.5000  4 W 2.78, 4 Ta 2.78
W  0.5000  0.2489  0.8748  6 W 2.78, 2 Mo 2.79
Mo  0.0000  0.5000  0.0000  4 Ta 2.77, 4 W 2.79
W  0.0000  0.5017  0.2505  4 W 2.78, 4 Ta 2.78-2.79
Ta  0.5000  0.7475  0.8757  2 Mo 2.77, 6 W 2.78-2.79
Ta  0.5000  0.7525  0.3757  2 Mo 2.77, 6 W 2.78-2.79
Mo  0.0000  0.0000  0.5000  4 Ta 2.77, 4 W 2.79
W  0.0000  0.0017  0.2495  4 W 2.78, 4 Ta 2.78-2.79
W  0.5000  0.2511  0.3748  6 W 2.78, 2 Mo 2.79
W  0.5000  0.7511  0.1252  6 W 2.78, 2 Mo 2.79
W  0.5000  0.7489  0.6252  6 W 2.78, 2 Mo 2.79

VASP energy in eV per cell: -200.2
Spin magnetization in μB/cell: 0.00
Symmetry: Pbam, No. 55
Calculated formation energy in meV/atom: -97


Record 12
Below is an optimized crystal structure of Ta3MoW2, with properties calculated at the PBE level.

Unit cell a=3.2391 b=3.2391 c=9.7031 alpha=90.00 beta=90.00 gamma=90.00
Last column: nearest neighbours and their distance in Å.
Fractional positions:
Ta  0.0000  0.0000  0.3343  4 Mo 2.80, 4 W 2.81
Mo  0.5000  0.5000  0.5000  8 Ta 2.80
Ta  0.0000  0.0000  0.0000  8 W 2.81
W  0.5000  0.5000  0.1670  8 Ta 2.81
W  0.5000  0.5000  0.8330  8 Ta 2.81
Ta  0.0000  0.0000  0.6657  4 Mo 2.80, 4 W 2.81

VASP energy in eV per cell: -73.1
Spin magnetization in μB/cell: 0.00
Excess energy over the best structure of this formula in the dataset in meV per atom: 4
Symmetry: P4/mmm, No. 123
Calculated formation energy in meV/atom: -135